Entry 1:
Computed, not measured: a geometry-optimized NbZnCuB structure at the PBE level of DFT.

Cell: 5.8627 5.8627 5.8627 Å, 90.00 90.00 90.00°
Closest atoms and distances in Å follow each position.
Space group F-43m (No. 216)
Asymmetric unit:
Nb: 0.0000 0.0000 0.0000 [4 per cell]  4 B 2.54, 4 Zn 2.54
Zn: 0.2500 0.2500 0.7500 [4 per cell]  4 Nb 2.54, 4 Cu 2.54
Cu: 0.0000 0.0000 0.5000 [4 per cell]  4 Zn 2.54, 4 B 2.54
B: 0.2500 0.2500 0.2500 [4 per cell]  4 Nb 2.54, 4 Cu 2.54

***

Entry 2:
Computed, not measured: a geometry-optimized ZrNbCuB structure at the PBE level of DFT.

Cell: 6.1987 6.1987 6.1987 Å, 90.00 90.00 90.00°
Closest atoms and distances in Å follow each position.
Space group F-43m (No. 216)
Asymmetric unit:
Zr: 0.0000 0.0000 0.0000 [4 per cell]  4 Cu 2.68, 4 Nb 2.68
Nb: 0.2500 0.2500 0.2500 [4 per cell]  4 Zr 2.68, 4 B 2.68
Cu: 0.2500 0.2500 0.7500 [4 per cell]  4 Zr 2.68, 4 B 2.68
B: 0.0000 0.0000 0.5000 [4 per cell]  4 Nb 2.68, 4 Cu 2.68

***

Computed values of DFT total energy (unit: eV/atom) for the preceding records, in sequence: -4.9900 -6.4188.
Computed values of M_tot (unit: μB/cell) for the preceding records, in sequence: 0.02 0.10.
Computed values of theoretical density (unit: Mg/m³) for the preceding records, in sequence: 7.7 7.2.